(1)
VASP calculation (meta-GGA SCAN) on a crystal of TeCl relaxed with PBEsol.

Values from the calculation:
Space-group type: C2/m, No. 12
Crystal system: monoclinic
Energy relative to the elements, uncorrected in meV per atom: -402
Final energy in eV/atom: -23.017

Lattice parameters (Å, degrees): 7.1303 7.1303 10.6807 125.23 125.23 32.73
Element x y z (fractional)
Te (0.0702, 0.0702, 0.3423)
Te (0.2974, 0.2974, 0.6946)
Te (0.7026, 0.7026, 0.3054)
Te (0.9298, 0.9298, 0.6577)
Cl (0.1000, 0.1000, 0.9341)
Cl (0.3506, 0.3506, 0.3189)
Cl (0.6494, 0.6494, 0.6811)
Cl (0.9000, 0.9000, 0.0659)

=====

(2)
VASP calculation (meta-GGA SCAN) on a crystal of TeCl2 relaxed with PBEsol.

Values from the calculation:
Space-group type: Pnnm, No. 58
Crystal system: orthorhombic
Energy relative to the elements, uncorrected in meV per atom: -309
Final energy in eV/atom: -18.044

Lattice parameters (Å, degrees): 6.2868 9.3143 3.7111 90.00 90.00 90.00
Element x y z (fractional)
Te (0.0000, 0.0000, 0.0000)
Te (0.5000, 0.5000, 0.5000)
Cl (0.1490, 0.1712, 0.5000)
Cl (0.3510, 0.6712, 0.0000)
Cl (0.6490, 0.3288, 0.0000)
Cl (0.8510, 0.8288, 0.5000)

=====

(3)
VASP calculation (meta-GGA SCAN) on a crystal of TeCl2 relaxed with PBEsol.

Values from the calculation:
Space-group type: I4_1/amd, No. 141
Crystal system: tetragonal
Energy relative to the elements, uncorrected in meV per atom: -307
Final energy in eV/atom: -18.042

Lattice parameters (Å, degrees): 8.3469 8.3469 8.3469 144.81 144.81 50.61
Element x y z (fractional)
Te (0.3750, 0.6250, 0.7500)
Te (0.6250, 0.3750, 0.2500)
Cl (0.0859, 0.3359, 0.7500)
Cl (0.3359, 0.0859, 0.2500)
Cl (0.6641, 0.9141, 0.7500)
Cl (0.9141, 0.6641, 0.2500)

=====

(4)
VASP calculation (meta-GGA SCAN) on a crystal of Te5Cl relaxed with PBEsol.

Values from the calculation:
Space-group type: Cm, No. 8
Crystal system: monoclinic
Energy relative to the elements, uncorrected in meV per atom: -57
Final energy in eV/atom: -32.429

Lattice parameters (Å, degrees): 6.9951 6.9951 7.8871 113.55 113.55 33.50
Element x y z (fractional)
Te (0.0000, 0.0000, 0.0000)
Te (0.0645, 0.0645, 0.5101)
Te (0.3913, 0.3913, 0.4491)
Te (0.6657, 0.6657, 0.1008)
Te (0.7311, 0.7311, 0.5039)
Cl (0.3388, 0.3388, 0.9147)

=====

(5)
VASP calculation (meta-GGA SCAN) on a crystal of TeCl4 relaxed with PBEsol.

Values from the calculation:
Space-group type: I4/m, No. 87
Crystal system: tetragonal
Energy relative to the elements, uncorrected in meV per atom: -307
Final energy in eV/atom: -14.139
Energy above the most stable polymorph in this dataset in meV/atom: 354

Lattice parameters (Å, degrees): 6.5271 6.5271 6.5271 93.73 93.73 150.44
Element x y z (fractional)
Te (0.0000, 0.0000, 0.0000)
Cl (0.2646, 0.4487, 0.7133)
Cl (0.4487, 0.7354, 0.1841)
Cl (0.5513, 0.2646, 0.8159)
Cl (0.7354, 0.5513, 0.2867)

=====

(6)
VASP calculation (meta-GGA SCAN) on a crystal of TeCl relaxed with PBEsol.

Values from the calculation:
Space-group type: P-6m2, No. 187
Crystal system: hexagonal
Energy relative to the elements, uncorrected in meV per atom: 153
Final energy in eV/atom: -22.462

Lattice parameters (Å, degrees): 3.3152 3.3152 4.8054 90.00 90.00 120.00
Element x y z (fractional)
Te (0.0000, 0.0000, 0.0000)
Cl (0.6667, 0.3333, 0.5000)